An optimized crystal structure of BaCrMo4, computed with PBE-GGA.

The structure in POSCAR format:
```
BaCrMo4
1.0
-2.2323 -3.1476 3.8900
-4.5042 1.6769 2.6310
-4.7929 -2.4945 -0.9099
Ba Cr Mo
1 1 4
Cartesian
-8.6470 -2.9739 4.2083
0.0000 0.0000 0.0000
-6.5767 -0.6468 3.4204
-5.4393 -3.0621 4.0507
-6.7212 -2.7351 1.6477
-4.3217 -1.4863 2.1032
```

Computed properties:
Space-group type = No. 216
ΔE_f = 0.962 eV per atom
Total energy = -8.18 eV/atom